1.
A plane-wave DFT calculation with PBE was carried out for a geometry-optimized GaIrRu3 structure.

Output
Magnetic moment   0.00 μB/f.u.
Calculated volume   87.0 Å³/f.u.
SG   Pm-3m, No. 221

abc: 4.431 4.431 4.431
angles: 90.00 90.00 90.00
Fractional positions:
Ru (0.000, 0.500, 0.000)
Ru (0.000, 0.000, 0.500)
Ru (0.500, 0.000, 0.000)
Ir (0.500, 0.500, 0.500)
Ga (0.000, 0.000, 0.000)

---

2.
A plane-wave DFT calculation with PBE was carried out for a geometry-optimized GaIrRu3 structure.

Output
Magnetic moment   1.42 μB/f.u.
Calculated volume   105.4 Å³/f.u.
SG   Pm-3m, No. 221

abc: 4.724 4.724 4.724
angles: 90.00 90.00 90.00
Each line ends with the local moment (μB).
Fractional positions:
Ru (0.000, 0.500, 0.000)  0.45
Ru (0.000, 0.000, 0.500)  0.65
Ru (0.500, 0.000, 0.000)  0.31
Ir (0.000, 0.000, 0.000)  0.00
Ga (0.500, 0.500, 0.500)  -0.01

---

Most stable structure - 1; separation to the second - 62 meV per atom.

---

1.
A plane-wave DFT calculation with PBE was carried out for a geometry-optimized Ga2SbIr2 structure.

Output
Magnetic moment   0.00 μB/f.u.
Calculated volume   84.2 Å³/f.u.
SG   P4/mbm, No. 127

abc: 7.623 7.623 2.897
angles: 90.00 90.00 90.00
Fractional positions:
Sb (0.000, 0.000, 0.000)
Sb (0.500, 0.500, 0.000)
Ir (0.160, 0.660, 0.500)
Ir (0.660, 0.840, 0.500)
Ir (0.840, 0.340, 0.500)
Ir (0.340, 0.160, 0.500)
Ga (0.368, 0.868, 0.000)
Ga (0.868, 0.632, 0.000)
Ga (0.632, 0.132, 0.000)
Ga (0.132, 0.368, 0.000)

---

2.
A plane-wave DFT calculation with PBE was carried out for a geometry-optimized Ga2SbIr2 structure.

Output
Magnetic moment   0.00 μB/f.u.
Calculated volume   83.4 Å³/f.u.
SG   P4/mbm, No. 127

abc: 7.542 7.542 2.933
angles: 90.00 90.00 90.00
Fractional positions:
Sb (0.000, 0.000, 0.000)
Sb (0.500, 0.500, 0.000)
Ir (0.341, 0.841, 0.000)
Ir (0.841, 0.659, 0.000)
Ir (0.659, 0.159, 0.000)
Ir (0.159, 0.341, 0.000)
Ga (0.136, 0.636, 0.500)
Ga (0.636, 0.864, 0.500)
Ga (0.864, 0.364, 0.500)
Ga (0.364, 0.136, 0.500)

---

Most stable structure - 2; separation to the second - 174 meV per atom.

---

1.
A plane-wave DFT calculation with PBE was carried out for a geometry-optimized GaSbIr3 structure.

Output
Magnetic moment   0.00 μB/f.u.
Calculated volume   116.5 Å³/f.u.
SG   Pm-3m, No. 221

abc: 4.884 4.884 4.884
angles: 90.00 90.00 90.00
Fractional positions:
Sb (0.000, 0.000, 0.000)
Ir (0.000, 0.500, 0.000)
Ir (0.000, 0.000, 0.500)
Ir (0.500, 0.000, 0.000)
Ga (0.500, 0.500, 0.500)

---

2.
A plane-wave DFT calculation with PBE was carried out for a geometry-optimized GaSbIr3 structure.

Output
Magnetic moment   0.00 μB/f.u.
Calculated volume   97.6 Å³/f.u.
SG   Pm-3m, No. 221

abc: 4.605 4.605 4.605
angles: 90.00 90.00 90.00
Fractional positions:
Sb (0.500, 0.500, 0.500)
Ir (0.000, 0.500, 0.000)
Ir (0.000, 0.000, 0.500)
Ir (0.500, 0.000, 0.000)
Ga (0.000, 0.000, 0.000)

---

Most stable structure - 2; separation to the second - 563 meV per atom.

---

1.
A plane-wave DFT calculation with PBE was carried out for a geometry-optimized Sc2Ga2Ir structure.

Output
Magnetic moment   0.00 μB/f.u.
Calculated volume   88.5 Å³/f.u.
SG   P4/mnc, No. 128

abc: 6.714 6.714 7.850
angles: 90.00 90.00 90.00
Fractional positions:
Sc (0.678, 0.829, 0.500)
Sc (0.322, 0.171, 0.500)
Sc (0.822, 0.329, 0.000)
Sc (0.178, 0.671, 0.000)
Sc (0.829, 0.322, 0.500)
Sc (0.171, 0.678, 0.500)
Sc (0.329, 0.178, 0.000)
Sc (0.671, 0.822, 0.000)
Ga (0.368, 0.868, 0.250)
Ga (0.632, 0.132, 0.250)
Ga (0.132, 0.368, 0.750)
Ga (0.868, 0.632, 0.750)
Ga (0.868, 0.632, 0.250)
Ga (0.132, 0.368, 0.250)
Ga (0.368, 0.868, 0.750)
Ga (0.632, 0.132, 0.750)
Ir (0.500, 0.500, 0.228)
Ir (0.000, 0.000, 0.728)
Ir (0.500, 0.500, 0.772)
Ir (0.000, 0.000, 0.272)

---

2.
A plane-wave DFT calculation with PBE was carried out for a geometry-optimized Sc2Ga2Ir structure.

Output
Magnetic moment   0.00 μB/f.u.
Calculated volume   91.0 Å³/f.u.
SG   Immm, No. 71

abc: 4.234 5.339 5.339
angles: 57.73 66.64 66.64
Fractional positions:
Sc (0.802, 0.698, 0.698)
Sc (0.198, 0.302, 0.302)
Ga (0.500, 0.738, 0.262)
Ga (0.500, 0.262, 0.738)
Ir (0.000, 0.000, 0.000)

---

Most stable structure - 1; separation to the second - 16 meV per atom.

---

1.
A plane-wave DFT calculation with PBE was carried out for a geometry-optimized Sc3Ga4Ir2 structure.

Output
Magnetic moment   0.00 μB/f.u.
Calculated volume   156.0 Å³/f.u.
SG   C2/m, No. 12

abc: 4.434 5.448 8.118
angles: 116.66 90.00 114.01
Fractional positions:
Sc (0.667, 0.335, 0.662)
Sc (0.000, 0.000, 0.000)
Sc (0.333, 0.665, 0.338)
Ga (0.688, 0.377, 0.025)
Ga (0.312, 0.623, 0.975)
Ga (0.921, 0.843, 0.592)
Ga (0.079, 0.157, 0.408)
Ir (0.607, 0.213, 0.275)
Ir (0.393, 0.787, 0.725)

---

2.
A plane-wave DFT calculation with PBE was carried out for a geometry-optimized Sc3Ga4Ir2 structure.

Output
Magnetic moment   0.00 μB/f.u.
Calculated volume   159.2 Å³/f.u.
SG   C2/m, No. 12

abc: 4.335 5.216 8.040
angles: 104.20 90.00 114.55
Fractional positions:
Sc (0.379, 0.757, 0.621)
Sc (0.000, 0.000, 0.000)
Sc (0.621, 0.243, 0.379)
Ga (0.684, 0.369, 0.053)
Ga (0.085, 0.169, 0.655)
Ga (0.915, 0.831, 0.345)
Ga (0.316, 0.631, 0.947)
Ir (0.271, 0.542, 0.253)
Ir (0.729, 0.458, 0.747)

---

Most stable structure - 1; separation to the second - 77 meV per atom.

---

1.
A plane-wave DFT calculation with PBE was carried out for a geometry-optimized Sc4Ga3Ir structure.

Output
Magnetic moment   0.00 μB/f.u.
Calculated volume   154.7 Å³/f.u.
SG   Pmm2, No. 25

abc: 3.480 4.256 10.442
angles: 90.00 90.00 90.00
Fractional positions:
Sc (0.500, 0.500, 0.334)
Sc (0.000, 0.500, 0.868)
Sc (0.000, 0.000, 0.142)
Sc (0.500, 0.000, 0.655)
Ga (0.000, 0.500, 0.577)
Ga (0.000, 0.000, 0.424)
Ga (0.500, 0.000, 0.921)
Ir (0.500, 0.500, 0.079)

---

2.
A plane-wave DFT calculation with PBE was carried out for a geometry-optimized Sc4Ga3Ir structure.

Output
Magnetic moment   0.00 μB/f.u.
Calculated volume   147.5 Å³/f.u.
SG   P4/mmm, No. 123

abc: 3.321 3.321 13.372
angles: 90.00 90.00 90.00
Fractional positions:
Sc (0.000, 0.000, 0.885)
Sc (0.000, 0.000, 0.115)
Sc (0.000, 0.000, 0.370)
Sc (0.000, 0.000, 0.630)
Ir (0.500, 0.500, 0.000)
Ga (0.500, 0.500, 0.242)
Ga (0.500, 0.500, 0.500)
Ga (0.500, 0.500, 0.758)

---

Most stable structure - 2; separation to the second - 21 meV per atom.